1.
Below is a geometry-optimized AcLaNi10 structure, with properties calculated at the PBE level.

Cell lengths 3.9828, 5.0438, 8.7420 Å; angles 90.00, 90.00, 90.00 degrees
Closest atoms and distances in Å follow each position.
Space group Pmmm (No. 47)
Inequivalent atoms, fractional coordinates:
Ac  0.0000  0.0000  0.0000 [1 per cell]  18 Ni 2.94-3.24
La  0.0000  0.5000  0.5000 [1 per cell]  14 Ni 2.86-3.19
Ni  0.0000  0.0000  0.3386 [2 per cell]  6 Ni 2.44-2.47
Ni  0.0000  0.5000  0.1726 [2 per cell]  6 Ni 2.46-2.50
Ni  0.5000  0.0000  0.5000 [1 per cell]  8 Ni 2.44-2.50
Ni  0.5000  0.2507  0.2533 [4 per cell]  8 Ni 2.46-2.55
Ni  0.5000  0.5000  0.0000 [1 per cell]  8 Ni 2.50-2.55

Uncorrected energy   -5.82 eV per atom
D(E_F)   13.3 states/eV/f.u.
V   14.6 A^3/atom
ΔH_f (0 K)   -245.8 meV per atom

2.
Below is a geometry-optimized Ac2LaNi2 structure, with properties calculated at the PBE level.

Cell lengths 4.6620, 14.6578, 4.0998 Å; angles 90.00, 90.00, 90.00 degrees
Closest atoms and distances in Å follow each position.
Space group Cmmm (No. 65)
Inequivalent atoms, fractional coordinates:
Ac  0.0000  0.1490  0.0000 [4 per cell]  6 Ni 3.04-3.19
La  0.0000  0.5000  0.5000 [2 per cell]  2 Ni 2.90
Ni  0.0000  0.3021  0.5000 [4 per cell]  2 Ni 2.79, 1 La 2.90, 2 Ac 3.04

Uncorrected energy   -5.13 eV per atom
Energy above the most stable polymorph in this dataset   2 kJ/mol of formula units
D(E_F)   4.1 states/eV/f.u.
V   28.0 A^3/atom
ΔH_f (0 K)   -190.3 meV per atom

M_tot? In order: 2.8; 0.0 Bohr magnetons per cell.